No. 1
! Rb2HfHF6, optimized geometry, DFT PBE; values from VASP
&SYSTEM
  ibrav = 0, nat = 10, ntyp = 4
/
ATOMIC_SPECIES
H 1.01 H.upf
Hf 178.49 Hf.upf
Rb 85.47 Rb.upf
F 19.00 F.upf
ATOMIC_POSITIONS crystal
H 0.5000 0.5000 0.0000
Hf 0.0000 0.0000 0.0000
Rb 0.7500 0.2500 0.5000
Rb 0.2500 0.7500 0.5000
F 0.2187 0.2187 0.5627
F 0.7813 0.7813 0.4373
F 0.2188 0.2188 0.0000
F 0.7812 0.7812 0.0000
F 0.7812 0.2188 0.0000
F 0.2188 0.7812 0.0000
CELL_PARAMETERS angstrom
6.4771 0.0000 0.0000
0.0000 6.4771 0.0000
3.2386 3.2386 4.5838
! Calculated total energy (eV per atom): -5.5090
! Total magnetization (μB per atom): 0.100
! ρ (kg/m³): 4010

---

No. 2
! K4HgSb, optimized geometry, DFT PBE; values from VASP
&SYSTEM
  ibrav = 0, nat = 24, ntyp = 3
/
ATOMIC_SPECIES
K 39.10 K.upf
Hg 200.59 Hg.upf
Sb 121.76 Sb.upf
ATOMIC_POSITIONS crystal
K 0.4105 0.4105 0.4105
K 0.7686 0.4105 0.4105
K 0.4105 0.7686 0.4105
K 0.4105 0.4105 0.7686
K 0.5520 0.5520 0.9480
K 0.9480 0.9480 0.5520
K 0.5520 0.9480 0.5520
K 0.9480 0.5520 0.9480
K 0.9480 0.5520 0.5520
K 0.5520 0.9480 0.9480
K 0.2204 0.2204 0.7796
K 0.7796 0.7796 0.2204
K 0.2204 0.7796 0.2204
K 0.7796 0.2204 0.7796
K 0.7796 0.2204 0.2204
K 0.2204 0.7796 0.7796
Hg 0.1786 0.1786 0.1786
Hg 0.4641 0.1786 0.1786
Hg 0.1786 0.4641 0.1786
Hg 0.1786 0.1786 0.4641
Sb 0.6144 0.6144 0.6144
Sb 0.1568 0.6144 0.6144
Sb 0.6144 0.1568 0.6144
Sb 0.6144 0.6144 0.1568
CELL_PARAMETERS angstrom
-5.2267 -10.0035 3.7484
5.3009 -6.7562 8.2277
-4.4925 -0.6023 10.9952
! Energy above the lowest structure with this stoichiometry (meV per atom): 0
! Formation energy without anion corrections (eV per atom): -0.267
! Calculated total energy (eV per atom): -1.7356
! Total magnetization (μB per atom): 0.000
! ρ (kg/m³): 2673

---

No. 3
! CsRb2AsS4, optimized geometry, DFT PBE; values from VASP
&SYSTEM
  ibrav = 0, nat = 8, ntyp = 4
/
ATOMIC_SPECIES
Cs 132.91 Cs.upf
Rb 85.47 Rb.upf
As 74.92 As.upf
S 32.06 S.upf
ATOMIC_POSITIONS crystal
Cs 0.0000 0.0000 0.0000
Rb 0.5000 0.7497 0.2503
Rb 0.5000 0.2503 0.7497
As 0.0000 0.5000 0.5000
S 0.6879 0.5168 0.7953
S 0.3121 0.2047 0.4832
S 0.0001 0.4832 0.2047
S 0.9999 0.7953 0.5168
CELL_PARAMETERS angstrom
-1.5100 8.0991 -0.3738
-4.6246 3.1177 -4.7448
-4.9850 3.4587 4.0996
! Formation energy without anion corrections (eV per atom): -0.831
! Calculated total energy (eV per atom): -3.8249
! Total magnetization (μB per atom): 0.000
! ρ (kg/m³): 2795

---

No. 4
! RbHf2BeCl, optimized geometry, DFT PBE; values from VASP
&SYSTEM
  ibrav = 0, nat = 5, ntyp = 4
/
ATOMIC_SPECIES
Be 9.01 Be.upf
Hf 178.49 Hf.upf
Rb 85.47 Rb.upf
Cl 35.45 Cl.upf
ATOMIC_POSITIONS crystal
Be 0.5000 0.5000 0.5000
Hf 0.0000 0.0000 0.5000
Hf 0.5000 0.0000 0.0000
Rb 0.0000 0.0000 0.0000
Cl 0.0000 0.5000 0.0000
CELL_PARAMETERS angstrom
5.2901 0.0000 0.0000
0.0000 5.3628 0.0000
0.0000 0.0000 5.2901
! Formation energy without anion corrections (eV per atom): 2.297
! Calculated total energy (eV per atom): -2.9929
! Total magnetization (μB per atom): 0.000
! ρ (kg/m³): 5387

---

Which of these has the highest total magnetization?
Rb2HfHF6

---

The highest calculated total energy belongs to which entry?
K4HgSb

---

Which formula does entry 1 have?
Rb2HfHF6